# 1
Density functional theory data (PBE) for a relaxed ScMn2Fe crystal.

Cell: 3.933 3.933 7.814 Å, 90.00 90.00 90.00°
Space group I-4m2 (No. 119)
One atom of each set of equivalent atoms:
Sc 0.000 0.000 0.000 [2 per cell]
Mn 0.000 0.000 0.500 [2 per cell]
Mn 0.000 0.500 0.250 [2 per cell]
Fe 0.000 0.500 0.750 [2 per cell]

Computed properties:
Total energy (eV per atom): -8.073
Formation energy (eV per atom): 0.2107

***

# 2
Density functional theory data (PBE) for a relaxed CdHg2Te crystal.

Cell: 7.527 7.592 5.261 Å, 90.00 133.84 90.00°
Space group C2 (No. 5)
One atom of each set of equivalent atoms:
Cd 0.000 0.000 0.000 [2 per cell]
Hg 0.000 0.249 0.500 [2 per cell]
Hg 0.000 0.498 0.000 [2 per cell]
Te 0.000 0.751 0.500 [2 per cell]

Computed properties:
Total energy (eV per atom): -1.146
Formation energy from raw total energies (eV/atom): 0.0193

***

Number 1: offset from the most stable computed form 0.46 eV per formula unit. Number 2: offset from the most stable computed form 0.46 eV per formula unit.